# Rb2SrCrF6 (PBE with a Hubbard U, relaxed)
# Calculated total energy   -5.28 eV per atom
data_Rb2SrCrF6
_cell_length_a 6.270
_cell_length_b 6.270
_cell_length_c 9.529
_cell_angle_alpha 90.00
_cell_angle_beta 90.00
_cell_angle_gamma 90.00
_space_group_name_H-M_alt 'I 4/m m m'
_space_group_IT_number 139
_space_group_name_Hall '-I 4 2'
loop_
_atom_site_label
_atom_site_type_symbol
_atom_site_fract_x
_atom_site_fract_y
_atom_site_fract_z
Rb1 Rb 0.000 0.500 0.250
Sr1 Sr 0.000 0.000 0.000
Cr1 Cr 0.000 0.000 0.500
F1 F 0.000 0.000 0.250
F2 F 0.230 0.230 0.500